(1)
# MnCu2Te GGA-PBEsol relaxed
data_MnCu2Te
_cell_length_a 3.869
_cell_length_b 3.869
_cell_length_c 3.944
_cell_angle_alpha 90.00
_cell_angle_beta 90.00
_cell_angle_gamma 90.00
_space_group_name_H-M_alt 'P 1'
_space_group_IT_number 1
_space_group_name_Hall 'P 1'
loop_
_atom_site_label
_atom_site_fract_x
_atom_site_fract_y
_atom_site_fract_z
_atom_site_occupancy
Mn1 0.000 0.000 0.000 1
Cu1 0.000 0.500 0.500 1
Cu2 0.500 0.000 0.500 1
Te1 0.500 0.500 0.000 1
# - Formation energy without anion corrections: 0.2237 eV per atom


(2)
# Fe2AsBr GGA-PBEsol relaxed
data_Fe2AsBr
_cell_length_a 4.309
_cell_length_b 4.309
_cell_length_c 2.988
_cell_angle_alpha 90.00
_cell_angle_beta 90.00
_cell_angle_gamma 90.00
_space_group_name_H-M_alt 'P 1'
_space_group_IT_number 1
_space_group_name_Hall 'P 1'
loop_
_atom_site_label
_atom_site_fract_x
_atom_site_fract_y
_atom_site_fract_z
_atom_site_occupancy
Fe1 0.000 0.500 0.000 1
Fe2 0.500 0.000 0.000 1
As1 0.000 0.000 0.500 1
Br1 0.500 0.500 0.500 1
# - Formation energy without anion corrections: 0.4856 eV per atom


(3)
# KCuPH2O5 GGA-PBEsol relaxed
data_KCuPH2O5
_cell_length_a 10.438
_cell_length_b 6.755
_cell_length_c 6.715
_cell_angle_alpha 90.00
_cell_angle_beta 93.68
_cell_angle_gamma 90.00
_space_group_name_H-M_alt 'P 1'
_space_group_IT_number 1
_space_group_name_Hall 'P 1'
loop_
_atom_site_label
_atom_site_fract_x
_atom_site_fract_y
_atom_site_fract_z
_atom_site_occupancy
K1 0.179 0.078 0.450 1
K2 0.179 0.422 0.950 1
K3 0.821 0.578 0.050 1
K4 0.821 0.922 0.550 1
Cu1 0.492 0.204 0.720 1
Cu2 0.492 0.296 0.220 1
Cu3 0.508 0.704 0.780 1
Cu4 0.508 0.796 0.280 1
P1 0.322 0.533 0.491 1
P2 0.322 0.967 0.991 1
P3 0.678 0.033 0.009 1
P4 0.678 0.467 0.509 1
H1 0.094 0.618 0.335 1
H2 0.094 0.882 0.835 1
H3 0.106 0.719 0.661 1
H4 0.106 0.781 0.161 1
H5 0.894 0.219 0.839 1
H6 0.894 0.281 0.339 1
H7 0.906 0.118 0.165 1
H8 0.906 0.382 0.665 1
O1 0.053 0.668 0.206 1
O2 0.053 0.832 0.706 1
O3 0.184 0.532 0.551 1
O4 0.184 0.968 0.051 1
O5 0.335 0.119 0.820 1
O6 0.335 0.381 0.320 1
O7 0.365 0.745 0.437 1
O8 0.365 0.755 0.937 1
O9 0.417 0.034 0.174 1
O10 0.417 0.466 0.674 1
O11 0.583 0.534 0.326 1
O12 0.583 0.966 0.826 1
O13 0.635 0.245 0.063 1
O14 0.635 0.255 0.563 1
O15 0.665 0.619 0.680 1
O16 0.665 0.881 0.180 1
O17 0.816 0.032 0.949 1
O18 0.816 0.468 0.449 1
O19 0.947 0.168 0.294 1
O20 0.947 0.332 0.794 1
# - E_tot: -5.990 eV/atom


(4)
# Tl2VF6 GGA-PBEsol relaxed
data_Tl2VF6
_cell_length_a 5.970
_cell_length_b 5.970
_cell_length_c 5.970
_cell_angle_alpha 60.00
_cell_angle_beta 60.00
_cell_angle_gamma 60.00
_space_group_name_H-M_alt 'P 1'
_space_group_IT_number 1
_space_group_name_Hall 'P 1'
loop_
_atom_site_label
_atom_site_fract_x
_atom_site_fract_y
_atom_site_fract_z
_atom_site_occupancy
Tl1 0.250 0.250 0.250 1
Tl2 0.750 0.750 0.750 1
V1 0.000 0.000 0.000 1
F1 0.219 0.219 0.781 1
F2 0.219 0.781 0.219 1
F3 0.219 0.781 0.781 1
F4 0.781 0.219 0.219 1
F5 0.781 0.219 0.781 1
F6 0.781 0.781 0.219 1
# - Formation energy without anion corrections: -2.4137 eV per atom


(5)
# VRhO4 GGA-PBEsol relaxed
data_VRhO4
_cell_length_a 5.405
_cell_length_b 5.405
_cell_length_c 5.405
_cell_angle_alpha 106.22
_cell_angle_beta 106.22
_cell_angle_gamma 116.18
_space_group_name_H-M_alt 'P 1'
_space_group_IT_number 1
_space_group_name_Hall 'P 1'
loop_
_atom_site_label
_atom_site_fract_x
_atom_site_fract_y
_atom_site_fract_z
_atom_site_occupancy
V1 0.000 0.000 0.000 1
V2 0.750 0.250 0.500 1
Rh1 0.273 0.773 0.500 1
Rh2 0.523 0.523 0.000 1
O1 0.000 0.310 0.310 1
O2 0.000 0.691 0.690 1
O3 0.060 0.250 0.810 1
O4 0.441 0.250 0.190 1
O5 0.538 0.242 0.704 1
O6 0.538 0.833 0.296 1
O7 0.583 0.788 0.796 1
O8 0.992 0.788 0.204 1
# - Formation energy without anion corrections: -1.6780 eV per atom


(6)
# BaSbI3 GGA-PBEsol relaxed
data_BaSbI3
_cell_length_a 6.038
_cell_length_b 6.038
_cell_length_c 6.038
_cell_angle_alpha 90.00
_cell_angle_beta 90.00
_cell_angle_gamma 90.00
_space_group_name_H-M_alt 'P 1'
_space_group_IT_number 1
_space_group_name_Hall 'P 1'
loop_
_atom_site_label
_atom_site_fract_x
_atom_site_fract_y
_atom_site_fract_z
_atom_site_occupancy
Ba1 0.000 0.000 0.000 1
Sb1 0.500 0.500 0.500 1
I1 0.000 0.500 0.500 1
I2 0.500 0.000 0.500 1
I3 0.500 0.500 0.000 1
# - Formation energy without anion corrections: -0.5739 eV per atom


(7)
# YAsP2 GGA-PBEsol relaxed
data_YAsP2
_cell_length_a 6.823
_cell_length_b 6.823
_cell_length_c 6.823
_cell_angle_alpha 31.81
_cell_angle_beta 31.81
_cell_angle_gamma 31.81
_space_group_name_H-M_alt 'P 1'
_space_group_IT_number 1
_space_group_name_Hall 'P 1'
loop_
_atom_site_label
_atom_site_fract_x
_atom_site_fract_y
_atom_site_fract_z
_atom_site_occupancy
Y1 0.000 0.000 0.000 1
As1 0.766 0.766 0.766 1
P1 0.243 0.243 0.243 1
P2 0.507 0.507 0.507 1
# - Energy of formation from the pure elements: -1.77 eV/f.u.


(8)
# BeTe2Mo GGA-PBEsol relaxed
data_BeTe2Mo
_cell_length_a 7.547
_cell_length_b 7.547
_cell_length_c 7.547
_cell_angle_alpha 26.30
_cell_angle_beta 26.30
_cell_angle_gamma 26.30
_space_group_name_H-M_alt 'P 1'
_space_group_IT_number 1
_space_group_name_Hall 'P 1'
loop_
_atom_site_label
_atom_site_fract_x
_atom_site_fract_y
_atom_site_fract_z
_atom_site_occupancy
Be1 0.000 0.000 0.000 1
Te1 0.255 0.255 0.255 1
Te2 0.745 0.745 0.745 1
Mo1 0.500 0.500 0.500 1
# - Formation energy without anion corrections: 0.2903 eV per atom